1.
## TbNd2Dy2Y4 (PBE)

Data for a relaxed structure of TbNd2Dy2Y4.

Summary:
**Energy of formation**: -4 meV per atom
**Space group**: C2/m

Cell: 9.565 9.565 9.615 Å, 115.23 115.23 21.82°
Fractional coordinates of all 9 atoms:
Tb  0.000  0.000  0.000
Nd  0.334  0.334  0.002
Nd  0.666  0.666  0.998
Dy  0.148  0.148  0.664
Dy  0.852  0.852  0.336
Y  0.186  0.186  0.335
Y  0.481  0.481  0.664
Y  0.519  0.519  0.336
Y  0.814  0.814  0.665

---

2.
## Tb2Nd6DyY3 (PBE)

Data for a relaxed structure of Tb2Nd6DyY3.

Summary:
**Energy of formation**: 9 meV per atom
**Space group**: C2/m

Cell: 6.292 6.292 11.901 Å, 95.04 95.04 120.00°
Fractional coordinates of all 12 atoms:
Tb  0.167  0.833  0.000
Tb  0.833  0.167  0.000
Nd  0.083  0.417  0.751
Nd  0.250  0.250  0.250
Nd  0.417  0.083  0.751
Nd  0.583  0.917  0.249
Nd  0.750  0.750  0.750
Nd  0.917  0.583  0.249
Dy  0.500  0.500  0.000
Y  0.000  0.000  0.500
Y  0.333  0.667  0.500
Y  0.667  0.333  0.500

---

3.
## Tb6Nd2Dy3Y (PBE)

Data for a relaxed structure of Tb6Nd2Dy3Y.

Summary:
**Energy of formation**: 15 meV per atom
**Space group**: C2/m

Cell: 6.194 6.194 11.864 Å, 94.97 94.97 119.97°
Fractional coordinates of all 12 atoms:
Tb  0.085  0.418  0.753
Tb  0.248  0.248  0.247
Tb  0.418  0.085  0.753
Tb  0.582  0.915  0.247
Tb  0.752  0.752  0.753
Tb  0.915  0.582  0.247
Nd  0.333  0.667  0.500
Nd  0.667  0.333  0.500
Dy  0.166  0.834  0.000
Dy  0.500  0.500  0.000
Dy  0.834  0.166  0.000
Y  0.000  0.000  0.500

---

4.
## Tb2Nd3DyY6 (PBE)

Data for a relaxed structure of Tb2Nd3DyY6.

Summary:
**Energy of formation**: 16 meV per atom
**Space group**: C2/m

Cell: 6.233 6.233 11.869 Å, 95.00 95.00 119.97°
Fractional coordinates of all 12 atoms:
Tb  0.167  0.833  0.000
Tb  0.833  0.167  0.000
Nd  0.000  0.000  0.500
Nd  0.333  0.667  0.500
Nd  0.667  0.333  0.500
Dy  0.500  0.500  0.000
Y  0.084  0.418  0.753
Y  0.249  0.249  0.247
Y  0.418  0.084  0.753
Y  0.582  0.916  0.247
Y  0.751  0.751  0.753
Y  0.916  0.582  0.247